# Er8NiRu2 GGA-PBE optimized geometry
# - D(E_F): 22.9 states/eV/cell
# - ΔE_f: -0.267 eV per atom
data_Er8NiRu2
_chemical_formula_sum 'Er16 Ni2 Ru4'
_space_group_name_H-M_alt 'C 1 2/m 1'
_space_group_IT_number 12
_cell_length_a 17.241
_cell_length_b 4.795
_cell_length_c 6.781
_cell_angle_alpha 90.00
_cell_angle_beta 107.55
_cell_angle_gamma 90.00
loop_
_space_group_symop_operation_xyz
'x,y,z'
'-x,-y,-z'
'-x,y,-z'
'x,-y,z'
'x+1/2,y+1/2,z'
'-x+1/2,-y+1/2,-z'
'-x+1/2,y+1/2,-z'
'x+1/2,-y+1/2,z'
loop_
_atom_site_label
_atom_site_type_symbol
_atom_site_fract_x
_atom_site_fract_y
_atom_site_fract_z
_atom_site_occupancy
Er1 Er 0.031 0.000 0.290 1
Er2 Er 0.096 0.500 0.955 1
Er3 Er 0.167 0.500 0.464 1
Er4 Er 0.205 0.000 0.814 1
Ni1 Ni 0.000 0.500 0.500 1
Ru1 Ru 0.185 0.000 0.203 1